Below is crystalline TaBeCl2 at its relaxed geometry, with properties calculated at the PBE level.

a b c (Å): 4.7297 4.7297 4.7297
angles (deg): 129.49 129.49 74.22
Element x y z (fractional)
Ta  0.2500  0.7500  0.5000
Cl  0.5000  0.5000  0.0000
Cl  0.0000  0.0000  0.0000
Be  0.7500  0.2500  0.5000

Properties
* energy above the most stable polymorph in this dataset: 1.077 eV/atom
* space-group type: I4/mmm
* E_tot: -4.22 eV/atom
* uncorrected formation energy: 57.4 kJ per mole of atoms
* magnetic moment: 0.000 μB/f.u.

***

Below is crystalline TaBeCl2 at its relaxed geometry, with properties calculated at the PBE level.

a b c (Å): 4.5068 4.5068 7.5027
angles (deg): 78.81 78.81 39.60
Element x y z (fractional)
Ta  0.4436  0.4436  0.4061
Cl  0.0254  0.0254  0.1262
Cl  0.8485  0.8485  0.6632
Be  0.1825  0.1825  0.3044

Properties
* energy above the most stable polymorph in this dataset: 0.320 eV/atom
* space-group type: Cm
* E_tot: -4.98 eV/atom
* uncorrected formation energy: -15.7 kJ per mole of atoms
* magnetic moment: 0.005 μB/f.u.

***

Below is crystalline TaBeCl2 at its relaxed geometry, with properties calculated at the PBE level.

a b c (Å): 5.2166 5.2900 3.0295
angles (deg): 69.28 97.86 122.16
Element x y z (fractional)
Be  0.5000  0.5000  0.0000
Cl  0.5000  0.0000  0.5000
Cl  0.0000  0.0000  0.0000
Ta  0.0000  0.5000  0.5000

Properties
* energy above the most stable polymorph in this dataset: 0.792 eV/atom
* space-group type: C2/m
* E_tot: -4.51 eV/atom
* uncorrected formation energy: 29.9 kJ per mole of atoms
* magnetic moment: 0.000 μB/f.u.

***

Below is crystalline TaBe4Cl at its relaxed geometry, with properties calculated at the PBE level.

a b c (Å): 4.6251 4.6251 4.6251
angles (deg): 60.00 60.00 60.00
Element x y z (fractional)
Be  0.8993  0.3669  0.3669
Be  0.3669  0.3669  0.8993
Be  0.3669  0.3669  0.3669
Be  0.3669  0.8993  0.3669
Cl  0.7500  0.7500  0.7500
Ta  0.0000  0.0000  0.0000

Properties
* space-group type: F-43m
* E_tot: -4.28 eV/atom
* uncorrected formation energy: 47.2 kJ per mole of atoms
* magnetic moment: 0.007 μB/f.u.

***

Below is crystalline TaBeCl2 at its relaxed geometry, with properties calculated at the PBE level.

a b c (Å): 3.1980 3.1980 10.3578
angles (deg): 90.00 90.00 126.05
Element x y z (fractional)
Cl  0.0000  0.0000  0.0546
Cl  0.0000  0.0000  0.4454
Ta  0.5000  0.5000  0.2500
Be  0.5000  0.5000  0.7500

Properties
* energy above the most stable polymorph in this dataset: 0.679 eV/atom
* space-group type: Cmmm
* E_tot: -4.62 eV/atom
* uncorrected formation energy: 18.9 kJ per mole of atoms
* magnetic moment: 0.000 μB/f.u.

***

Below is crystalline TaBeCl2 at its relaxed geometry, with properties calculated at the PBE level.

a b c (Å): 2.9917 2.9917 9.2178
angles (deg): 90.00 90.00 90.00
Element x y z (fractional)
Cl  0.0000  0.0000  0.0815
Cl  0.0000  0.0000  0.4185
Be  0.5000  0.5000  0.7500
Ta  0.5000  0.5000  0.2500

Properties
* energy above the most stable polymorph in this dataset: 0.888 eV/atom
* space-group type: P4/mmm
* E_tot: -4.41 eV/atom
* uncorrected formation energy: 39.2 kJ per mole of atoms
* magnetic moment: 0.000 μB/f.u.

***

Below is crystalline TaBeCl2 at its relaxed geometry, with properties calculated at the PBE level.

a b c (Å): 4.7682 4.7682 2.9849
angles (deg): 90.00 90.00 106.91
Element x y z (fractional)
Be  0.0000  0.5000  0.5000
Ta  0.5000  0.0000  0.5000
Cl  0.0000  0.0000  0.0000
Cl  0.5000  0.5000  0.0000

Properties
* energy above the most stable polymorph in this dataset: 1.201 eV/atom
* space-group type: Cmmm
* E_tot: -4.10 eV/atom
* uncorrected formation energy: 69.4 kJ per mole of atoms
* magnetic moment: 0.000 μB/f.u.

***

Below is crystalline TaBeCl2 at its relaxed geometry, with properties calculated at the PBE level.

a b c (Å): 7.9755 7.9755 7.9755
angles (deg): 22.23 22.23 22.23
Element x y z (fractional)
Be  0.5000  0.5000  0.5000
Cl  0.8893  0.8893  0.8893
Cl  0.1107  0.1107  0.1107
Ta  0.0000  0.0000  0.0000

Properties
* energy above the most stable polymorph in this dataset: 0.404 eV/atom
* space-group type: R-3m
* E_tot: -4.90 eV/atom
* uncorrected formation energy: -7.6 kJ per mole of atoms
* magnetic moment: 0.465 μB/f.u.

***

Below is crystalline TaTi2BeCl at its relaxed geometry, with properties calculated at the PBE level.

a b c (Å): 4.8748 4.8748 4.6141
angles (deg): 90.00 90.00 90.00
Element x y z (fractional)
Ti  0.5000  0.0000  0.0000
Ti  0.0000  0.5000  0.0000
Be  0.0000  0.0000  0.5000
Ta  0.0000  0.0000  0.0000
Cl  0.5000  0.5000  0.5000

Properties
* space-group type: P4/mmm
* E_tot: -5.53 eV/atom
* uncorrected formation energy: 107.8 kJ per mole of atoms
* magnetic moment: 0.002 μB/f.u.

***

Below is crystalline Tb7BeCl12 at its relaxed geometry, with properties calculated at the PBE level.

a b c (Å): 8.7740 8.7740 8.7740
angles (deg): 107.72 107.72 107.72
Element x y z (fractional)
Tb  0.1141  0.0335  0.3263
Tb  0.5000  0.5000  0.5000
Tb  0.6737  0.8859  0.9665
Tb  0.9665  0.6737  0.8859
Tb  0.3263  0.1141  0.0335
Tb  0.0335  0.3263  0.1141
Tb  0.8859  0.9665  0.6737
Cl  0.9235  0.3121  0.7785
Cl  0.5273  0.8362  0.6115
Cl  0.0765  0.6879  0.2215
Cl  0.3885  0.4727  0.1638
Cl  0.6115  0.5273  0.8362
Cl  0.6879  0.2215  0.0765
Cl  0.1638  0.3885  0.4727
Cl  0.8362  0.6115  0.5273
Cl  0.2215  0.0765  0.6879
Cl  0.4727  0.1638  0.3885
Cl  0.7785  0.9235  0.3121
Cl  0.3121  0.7785  0.9235
Be  0.0000  0.0000  0.0000

Properties
* space-group type: R-3
* E_tot: -4.74 eV/atom
* uncorrected formation energy: -175.7 kJ per mole of atoms
* magnetic moment: 0.000 μB/f.u.

***

Below is crystalline Tb3BeCl3 at its relaxed geometry, with properties calculated at the PBE level.

a b c (Å): 9.6515 9.6515 9.6515
angles (deg): 109.47 109.47 109.47
Element x y z (fractional)
Tb  0.9837  0.4919  0.2419
Tb  0.5163  0.2581  0.0081
Tb  0.5081  0.4919  0.7500
Tb  0.7419  0.4837  0.4919
Tb  0.9919  0.7500  0.0081
Tb  0.7581  0.7500  0.2419
Tb  0.7419  0.2581  0.7500
Tb  0.5081  0.0163  0.2581
Tb  0.9919  0.2419  0.4837
Tb  0.2500  0.0081  0.4919
Tb  0.7581  0.0081  0.0163
Tb  0.2500  0.2419  0.2581
Be  0.0000  0.0000  0.2500
Be  0.5000  0.2500  0.5000
Be  0.7500  0.2500  0.2500
Be  0.7500  0.5000  0.0000
Cl  0.2435  0.9935  0.9871
Cl  0.2435  0.2500  0.7565
Cl  0.4935  0.5065  0.2500
Cl  0.7500  0.7565  0.7435
Cl  0.2565  0.5129  0.5065
Cl  0.2565  0.7435  0.2500
Cl  0.4871  0.7435  0.9935
Cl  0.0065  0.7565  0.5129
Cl  0.4935  0.9871  0.7435
Cl  0.7500  0.9935  0.5065
Cl  0.0129  0.5065  0.7565
Cl  0.0065  0.2500  0.9935

Properties
* space-group type: I4_132
* E_tot: -4.59 eV/atom
* uncorrected formation energy: -123.7 kJ per mole of atoms
* magnetic moment: 0.000 μB/f.u.

***

Below is crystalline TbBeCl5 at its relaxed geometry, with properties calculated at the PBE level.

a b c (Å): 6.8291 6.8291 10.0034
angles (deg): 67.91 67.91 86.74
Element x y z (fractional)
Cl  0.7110  0.6637  0.1697
Cl  0.3363  0.2890  0.3303
Cl  0.2890  0.3363  0.8303
Cl  0.2507  0.7075  0.4316
Cl  0.6637  0.7110  0.6697
Cl  0.7493  0.2925  0.5684
Cl  0.0960  0.9040  0.7500
Cl  0.2925  0.7493  0.0684
Cl  0.7075  0.2507  0.9316
Cl  0.9040  0.0960  0.2500
Be  0.6129  0.3871  0.7500
Be  0.3871  0.6129  0.2500
Tb  0.0000  0.0000  0.5000
Tb  0.0000  0.0000  0.0000

Properties
* space-group type: C2/c
* E_tot: -4.38 eV/atom
* uncorrected formation energy: -180.1 kJ per mole of atoms
* magnetic moment: 0.000 μB/f.u.